No. 1
Sc7Tl | Alexandria | SCAN | PBEsol geometry; energy of formation from the pure elements = -100 meV/atom; calculated density = 4.682 g cm⁻³; total DFT energy (no corrections) = -21.602 eV/atom; density of states at the Fermi level = 0.833 states/eV/atom
1.0
0.0000 4.5152 4.5152
4.5152 0.0000 4.5152
4.5152 4.5152 0.0000
Sc Tl
7 1
Direct
0.0000 0.0000 0.0000
0.0000 0.0000 0.5000
0.0000 0.5000 0.0000
0.0000 0.5000 0.5000
0.5000 0.0000 0.0000
0.5000 0.0000 0.5000
0.5000 0.5000 0.0000
0.5000 0.5000 0.5000


No. 2
Tm2MgIn | Alexandria | SCAN | PBEsol geometry; energy of formation from the pure elements = -370 meV/atom; calculated density = 8.097 g cm⁻³; total DFT energy (no corrections) = -35.876 eV/atom; density of states at the Fermi level = 0.724 states/eV/atom
1.0
0.0000 3.6572 3.6572
3.6572 0.0000 3.6572
3.6572 3.6572 0.0000
Tm Mg In
2 1 1
Direct
0.2500 0.2500 0.2500
0.7500 0.7500 0.7500
0.0000 0.0000 0.0000
0.5000 0.5000 0.5000


Repeat the first record exactly.
Sc7Tl | Alexandria | SCAN | PBEsol geometry; energy of formation from the pure elements = -100 meV/atom; calculated density = 4.682 g cm⁻³; total DFT energy (no corrections) = -21.602 eV/atom; density of states at the Fermi level = 0.833 states/eV/atom
1.0
0.0000 4.5152 4.5152
4.5152 0.0000 4.5152
4.5152 4.5152 0.0000
Sc Tl
7 1
Direct
0.0000 0.0000 0.0000
0.0000 0.0000 0.5000
0.0000 0.5000 0.0000
0.0000 0.5000 0.5000
0.5000 0.0000 0.0000
0.5000 0.0000 0.5000
0.5000 0.5000 0.0000
0.5000 0.5000 0.5000


> Which of these has the highest total DFT energy (no corrections)?

Sc7Tl